Entry 1:
Compound: Ba4Ga3Ni
Source: the Alexandria database
Functional: PBE
Structure: optimized geometry

a = 5.2200 Å, b = 4.5765 Å, c = 11.4060 Å
α = 90.00°, β = 90.00°, γ = 90.00°
Sites, in units of the cell vectors:
Ba: 0.5000 0.0000 0.6473
Ba: 0.0000 0.5000 0.8634
Ba: 0.0000 0.0000 0.1490
Ba: 0.5000 0.5000 0.3435
Ni: 0.5000 0.5000 0.0312
Ga: 0.0000 0.5000 0.5524
Ga: 0.5000 0.0000 0.9673
Ga: 0.0000 0.0000 0.4458

Values from the calculation:
volume	34.06	Å³/atom
DFT formation energy	-0.28	eV/atom
D(E_F)	6.73	states/eV/cell
raw total energy	-24.76	eV for the cell shown

Entry 2:
Compound: CsHgAsPb2
Source: the Alexandria database
Functional: PBE
Structure: optimized geometry

a = 4.0863 Å, b = 8.8419 Å, c = 11.3818 Å
α = 109.38°, β = 90.00°, γ = 90.00°
Sites, in units of the cell vectors:
Hg: 0.2500 0.1988 0.5297
Hg: 0.7500 0.8012 0.4703
As: 0.2500 0.2714 0.0979
As: 0.7500 0.7286 0.9021
Pb: 0.7500 0.5820 0.6446
Pb: 0.7500 0.5050 0.1446
Pb: 0.2500 0.4950 0.8554
Pb: 0.2500 0.4180 0.3554
Cs: 0.2500 0.9106 0.1868
Cs: 0.7500 0.0894 0.8132

Values from the calculation:
volume	38.79	Å³/atom
DFT formation energy	-0.13	eV/atom
D(E_F)	2.99	states/eV/cell
raw total energy	-27.72	eV for the cell shown

Entry 3:
Compound: Li3Ac2Bi4Pd
Source: the Alexandria database
Functional: PBE
Structure: optimized geometry

a = 4.8701 Å, b = 4.8701 Å, c = 11.0644 Å
α = 90.00°, β = 90.00°, γ = 90.00°
Sites, in units of the cell vectors:
Li: 0.0000 0.0000 0.5000
Li: 0.5000 0.0000 0.8741
Li: 0.0000 0.5000 0.1259
Bi: 0.0000 0.5000 0.3660
Bi: 0.0000 0.0000 0.0000
Bi: 0.5000 0.5000 0.0000
Bi: 0.5000 0.0000 0.6340
Ac: 0.5000 0.0000 0.2666
Ac: 0.0000 0.5000 0.7334
Pd: 0.5000 0.5000 0.5000

Values from the calculation:
volume	26.24	Å³/atom
DFT formation energy	-0.68	eV/atom
D(E_F)	2.93	states/eV/cell
raw total energy	-41.45	eV for the cell shown